# 1
Here is crystalline Cd3Au at its relaxed geometry from Alexandria. Energies are from PBE-GGA.

## Properties
M_tot: 0.00 μB/cell
DOS at the Fermi energy: 0.64 states/eV per cell
space-group type: No. 25
formation energy: -94 meV per atom

POSCAR file:
```
Cd3Au
1.0
3.239 0.000 0.000
0.000 4.805 0.000
0.000 0.000 5.277
Cd Au
3 1
Cartesian
0.000 0.000 0.000
0.000 2.402 1.818
1.620 0.000 2.693
1.620 2.402 4.435
```

# 2
Here is crystalline Sm3Ga3Ru2 at its relaxed geometry from Alexandria. Energies are from PBE-GGA.

## Properties
M_tot: 0.00 μB/cell
DOS at the Fermi energy: 23.15 states/eV per cell
space-group type: No. 62
formation energy: -534 meV per atom

POSCAR file:
```
Sm3Ga3Ru2
1.0
7.691 0.000 0.000
0.000 15.379 0.000
0.000 0.000 5.865
Sm Ga Ru
12 12 8
Cartesian
0.276 1.644 0.642
0.276 6.045 0.642
1.299 3.845 3.679
2.546 11.534 0.747
3.570 9.333 3.574
3.570 13.735 3.574
4.121 1.644 2.291
4.121 6.045 2.291
5.145 3.845 5.119
6.392 11.534 2.186
7.416 9.333 5.224
7.416 13.735 5.224
1.254 0.561 3.478
1.254 7.129 3.478
1.342 11.534 3.619
2.504 3.845 0.686
2.591 8.250 0.545
2.591 14.818 0.545
5.100 0.561 5.320
5.100 7.129 5.320
5.188 11.534 5.179
6.349 3.845 2.246
6.437 8.250 2.388
6.437 14.818 2.388
1.028 9.339 2.171
1.028 13.729 2.171
2.817 1.649 5.104
2.817 6.040 5.104
4.874 9.339 0.761
4.874 13.729 0.761
6.663 1.649 3.694
6.663 6.040 3.694
```

# 3
Here is crystalline RbBaOsO4 at its relaxed geometry from Alexandria. Energies are from PBE-GGA.

## Properties
M_tot: 2.09 μB/cell
E_form (uncorrected): -1558 meV per atom
space-group type: No. 11

POSCAR file:
```
RbBaOsO4
1.0
6.812 0.000 0.000
0.000 5.998 0.000
-1.487 0.000 7.648
Rb Ba Os O
2 2 2 8
Cartesian
1.580 1.499 0.262
3.745 4.498 7.386
0.655 1.499 4.050
4.671 4.498 3.598
1.291 4.498 2.385
4.035 1.499 5.263
-0.173 3.266 2.166
-0.173 5.731 2.166
1.854 4.498 4.101
2.665 4.498 1.237
2.661 1.499 6.411
3.471 1.499 3.547
5.499 0.267 5.482
5.499 2.732 5.482
```

# 4
Here is crystalline MgNbRe2 at its relaxed geometry from Alexandria. Energies are from PBE-GGA.

## Properties
M_tot: 0.00 μB/cell
DOS at the Fermi energy: 7.11 states/eV per cell
space-group type: No. 122
formation energy: 927 meV per atom

POSCAR file:
```
MgNbRe2
1.0
-3.660 3.660 2.696
3.660 -3.660 2.696
3.660 3.660 -2.696
Mg Nb Re
2 2 4
Cartesian
0.000 0.000 0.000
0.000 3.660 1.348
3.660 0.000 1.348
0.000 0.000 2.696
1.830 -1.671 2.022
1.989 1.830 0.674
1.830 5.331 -0.674
1.671 1.830 3.370
```

# 5
Here is crystalline Zn2Ni2Au at its relaxed geometry from Alexandria. Energies are from PBE-GGA.

## Properties
M_tot: 0.00 μB/cell
DOS at the Fermi energy: 4.92 states/eV per cell
space-group type: No. 127
formation energy: -104 meV per atom

POSCAR file:
```
Zn2Ni2Au
1.0
6.998 0.000 0.000
0.000 6.998 0.000
0.000 0.000 2.775
Zn Ni Au
4 4 2
Cartesian
0.951 2.548 0.000
2.548 6.047 0.000
4.450 0.951 0.000
6.047 4.450 0.000
1.113 4.612 1.388
2.386 1.113 1.388
4.612 5.885 1.388
5.885 2.386 1.388
0.000 0.000 0.000
3.499 3.499 0.000
```

# 6
Here is crystalline Ni3W at its relaxed geometry from Alexandria. Energies are from PBE-GGA.

## Properties
M_tot: 0.00 μB/cell
DOS at the Fermi energy: 4.25 states/eV per cell
space-group type: No. 65
formation energy: 68 meV per atom

POSCAR file:
```
Ni3W
1.0
2.552 -3.645 0.000
2.552 3.645 0.000
0.000 0.000 2.635
Ni W
3 1
Cartesian
0.000 0.000 0.000
1.276 1.822 1.317
1.276 -1.822 1.317
2.552 0.000 0.000
```

# 7
Here is crystalline Tb3Pr8Tm2 at its relaxed geometry from Alexandria. Energies are from PBE-GGA.

## Properties
M_tot: 0.00 μB/cell
DOS at the Fermi energy: 18.06 states/eV per cell
space-group type: No. 12
formation energy: 200 meV per atom

POSCAR file:
```
Tb3Pr8Tm2
1.0
10.213 -3.889 0.000
10.213 3.889 0.000
-0.004 0.000 5.804
Tb Pr Tm
3 8 2
Cartesian
0.000 0.000 0.000
10.211 1.666 2.902
10.211 -1.666 2.902
2.687 0.000 2.898
8.029 1.596 5.803
6.643 0.000 2.895
12.394 1.596 0.001
8.029 -1.596 5.803
13.780 0.000 2.908
12.394 -1.596 0.001
17.735 0.000 2.906
4.893 0.000 5.795
15.529 0.000 0.009
```

# 8
Here is crystalline Ce3TeO4 at its relaxed geometry from Alexandria. Energies are from PBE-GGA.

## Properties
M_tot: 2.03 μB/cell
DOS at the Fermi energy: 14.45 states/eV per cell
E_form (uncorrected): -3129 meV per atom
space-group type: No. 123

POSCAR file:
```
Ce3TeO4
1.0
3.987 0.000 0.000
0.000 3.987 0.000
0.000 0.000 9.247
Ce Te O
3 1 4
Cartesian
0.000 0.000 0.000
1.994 1.994 2.536
1.994 1.994 6.712
0.000 0.000 4.624
0.000 1.994 1.414
0.000 1.994 7.833
1.994 0.000 1.414
1.994 0.000 7.833
```

# 9
Here is crystalline YBeTc2Au at its relaxed geometry from Alexandria. Energies are from PBE-GGA.

## Properties
M_tot: 3.19 μB/cell
DOS at the Fermi energy: 4.92 states/eV per cell
space-group type: No. 123
formation energy: 1065 meV per atom

POSCAR file:
```
YBeTc2Au
1.0
5.029 0.000 0.000
0.000 5.029 0.000
0.000 0.000 4.162
Y Be Tc Au
1 1 2 1
Cartesian
0.000 0.000 0.000
2.515 2.515 0.000
0.000 2.515 2.081
2.515 0.000 2.081
2.515 2.515 2.081
```

# 10
Here is crystalline HfBiF2 at its relaxed geometry from Alexandria. Energies are from PBE-GGA.

## Properties
M_tot: 0.00 μB/cell
DOS at the Fermi energy: 2.02 states/eV per cell
E_form (uncorrected): -1067 meV per atom
space-group type: No. 225

POSCAR file:
```
HfBiF2
1.0
0.000 3.216 3.216
3.216 0.000 3.216
3.216 3.216 0.000
Hf Bi F
1 1 2
Cartesian
0.000 0.000 0.000
3.216 3.216 3.216
1.608 1.608 1.608
4.824 4.824 4.824
```

# 11
Here is crystalline KCd2Se at its relaxed geometry from Alexandria. Energies are from PBE-GGA.

## Properties
M_tot: 0.00 μB/cell
DOS at the Fermi energy: 1.07 states/eV per cell
E_form (uncorrected): -377 meV per atom
space-group type: No. 10

POSCAR file:
```
KCd2Se
1.0
5.839 0.000 0.000
0.000 4.332 0.000
-2.764 0.000 5.160
K Cd Se
1 2 1
Cartesian
0.000 0.000 0.000
-0.078 2.166 3.578
3.153 2.166 1.581
1.538 0.000 2.580
```

# 12
Here is crystalline DyY6Ni2 at its relaxed geometry from Alexandria. Energies are from PBE-GGA.

## Properties
M_tot: 0.00 μB/cell
DOS at the Fermi energy: 28.06 states/eV per cell
space-group type: No. 71
formation energy: -115 meV per atom

POSCAR file:
```
DyY6Ni2
1.0
-4.808 4.909 5.171
4.808 -4.909 5.171
4.808 4.909 -5.171
Dy Y Ni
2 12 4
Cartesian
0.000 0.000 0.000
0.000 0.000 5.171
4.808 2.867 -2.645
2.780 1.816 0.000
6.836 1.816 0.000
1.810 4.909 -1.854
2.998 0.000 3.317
0.000 2.042 2.526
4.808 2.867 2.645
1.810 4.909 1.854
2.998 0.000 7.024
-2.028 3.093 5.171
2.028 3.093 5.171
0.000 2.042 7.815
4.808 0.000 1.229
0.000 2.966 0.000
0.000 6.852 0.000
0.000 4.909 3.942
```

# 13
Here is crystalline As2WAu at its relaxed geometry from Alexandria. Energies are from PBE-GGA.

## Properties
M_tot: 0.00 μB/cell
DOS at the Fermi energy: 4.30 states/eV per cell
space-group type: No. 225
formation energy: 617 meV per atom

POSCAR file:
```
As2WAu
1.0
0.000 3.252 3.252
3.252 0.000 3.252
3.252 3.252 0.000
As W Au
2 1 1
Cartesian
1.626 1.626 1.626
4.878 4.878 4.878
0.000 0.000 0.000
3.252 3.252 3.252
```

# 14
Here is crystalline K4HgBr6 at its relaxed geometry from Alexandria. Energies are from PBE-GGA.

## Properties
M_tot: 0.58 μB/cell
DOS at the Fermi energy: 0.00 states/eV per cell
E_form (uncorrected): -1368 meV per atom
space-group type: No. 9

POSCAR file:
```
K4HgBr6
1.0
7.713 -4.218 0.000
7.713 4.218 0.000
-6.714 0.000 14.593
K Hg Br
8 2 12
Cartesian
-1.501 1.708 12.475
4.356 3.102 7.296
5.355 1.343 2.897
1.856 -1.708 5.178
10.103 1.217 0.494
1.998 -1.343 10.193
6.746 -1.217 7.790
7.713 -3.102 0.000
5.630 2.016 11.103
8.987 -2.016 3.807
1.559 1.435 6.366
7.081 2.231 0.383
2.367 0.042 2.402
-0.990 -0.042 9.698
3.214 1.815 10.164
6.644 1.377 5.856
-1.798 -1.435 13.662
6.571 -1.815 2.868
3.724 -2.231 7.680
3.288 -1.377 13.152
7.535 0.158 10.780
10.892 -0.158 3.484
```

# 15
Here is crystalline CePrAgAu at its relaxed geometry from Alexandria. Energies are from PBE-GGA.

## Properties
M_tot: 1.19 μB/cell
DOS at the Fermi energy: 9.91 states/eV per cell
space-group type: No. 216
formation energy: -398 meV per atom

POSCAR file:
```
CePrAgAu
1.0
0.000 3.736 3.736
3.736 0.000 3.736
3.736 3.736 0.000
Ce Pr Ag Au
1 1 1 1
Cartesian
0.000 0.000 0.000
3.736 3.736 3.736
1.868 1.868 1.868
5.605 5.605 5.605
```

# 16
Here is crystalline AcTmLuCd at its relaxed geometry from Alexandria. Energies are from PBE-GGA.

## Properties
M_tot: 0.00 μB/cell
DOS at the Fermi energy: 4.74 states/eV per cell
space-group type: No. 216
formation energy: 21 meV per atom

POSCAR file:
```
AcTmLuCd
1.0
0.000 3.962 3.962
3.962 0.000 3.962
3.962 3.962 0.000
Ac Tm Lu Cd
1 1 1 1
Cartesian
0.000 0.000 0.000
5.943 5.943 5.943
3.962 3.962 3.962
1.981 1.981 1.981
```

# 17
Here is crystalline LaTaCdBi2 at its relaxed geometry from Alexandria. Energies are from PBE-GGA.

## Properties
M_tot: 2.28 μB/cell
DOS at the Fermi energy: 5.86 states/eV per cell
space-group type: No. 123
formation energy: 840 meV per atom

POSCAR file:
```
LaTaCdBi2
1.0
5.624 0.000 0.000
0.000 5.624 0.000
0.000 0.000 5.264
La Ta Cd Bi
1 1 1 2
Cartesian
0.000 0.000 0.000
2.812 2.812 0.000
2.812 2.812 2.632
0.000 2.812 2.632
2.812 0.000 2.632
```

# 18
Here is crystalline AcPu2Ni at its relaxed geometry from Alexandria. Energies are from PBE-GGA.

## Properties
M_tot: 11.97 μB/cell
DOS at the Fermi energy: 18.81 states/eV per cell
space-group type: No. 166
formation energy: 322 meV per atom

POSCAR file:
```
AcPu2Ni
1.0
1.837 1.060 10.385
-1.837 1.060 10.385
0.000 -2.121 10.385
Ac Pu Ni
1 2 1
Cartesian
0.000 0.000 0.000
0.000 0.000 3.493
0.000 0.000 27.661
0.000 0.000 15.577
```

# 19
Here is crystalline Ba3Al4Ag at its relaxed geometry from Alexandria. Energies are from PBE-GGA.

## Properties
M_tot: 0.00 μB/cell
DOS at the Fermi energy: 7.82 states/eV per cell
space-group type: No. 59
formation energy: -189 meV per atom

POSCAR file:
```
Ba3Al4Ag
1.0
6.153 0.000 0.000
0.000 12.889 0.000
0.000 0.000 6.528
Ba Al Ag
6 8 2
Cartesian
1.538 0.062 1.243
1.538 6.383 1.243
1.538 9.667 3.447
4.615 3.222 3.081
4.615 6.507 5.285
4.615 12.827 5.285
0.038 3.222 6.320
1.538 1.828 4.504
1.538 4.617 4.504
3.039 3.222 6.320
3.115 9.667 0.208
4.615 8.272 2.024
4.615 11.061 2.024
6.115 9.667 0.208
1.538 3.222 2.077
4.615 9.667 4.451
```

# 20
Here is crystalline Sr2ScCdRh at its relaxed geometry from Alexandria. Energies are from PBE-GGA.

## Properties
M_tot: 0.00 μB/cell
DOS at the Fermi energy: 5.48 states/eV per cell
space-group type: No. 123
formation energy: 199 meV per atom

POSCAR file:
```
Sr2ScCdRh
1.0
5.606 0.000 0.000
0.000 5.606 0.000
0.000 0.000 5.329
Sr Sc Cd Rh
2 1 1 1
Cartesian
0.000 2.803 0.000
2.803 0.000 0.000
0.000 0.000 2.664
2.803 2.803 2.664
2.803 2.803 0.000
```

# 21
Here is crystalline MgCrNi2 at its relaxed geometry from Alexandria. Energies are from PBE-GGA.

## Properties
M_tot: 0.88 μB/cell
DOS at the Fermi energy: 4.08 states/eV per cell
space-group type: No. 99
formation energy: 189 meV per atom

POSCAR file:
```
MgCrNi2
1.0
2.602 0.000 0.000
0.000 2.602 0.000
0.000 0.000 7.500
Mg Cr Ni
1 1 2
Cartesian
0.000 0.000 0.000
1.301 1.301 5.264
0.000 0.000 3.608
1.301 1.301 1.920
```

# 22
Here is crystalline RbNaPr2I8 at its relaxed geometry from Alexandria. Energies are from PBE-GGA.

## Properties
M_tot: 0.00 μB/cell
DOS at the Fermi energy: 0.00 states/eV per cell
E_form (uncorrected): -1355 meV per atom
space-group type: No. 147

POSCAR file:
```
RbNaPr2I8
1.0
8.264 0.000 0.000
-4.132 7.157 0.000
0.000 0.000 9.463
Rb Na Pr I
1 1 2 8
Cartesian
0.000 0.000 0.000
0.000 0.000 4.732
0.000 4.771 3.845
4.132 2.386 5.618
-0.988 2.642 6.234
-1.350 6.692 6.234
0.000 4.771 0.792
1.794 2.177 3.229
2.339 4.980 6.234
4.132 2.386 8.671
5.482 0.465 3.229
5.121 4.515 3.229
```

# 23
Here is crystalline Zr2Al3Ni4 at its relaxed geometry from Alexandria. Energies are from PBE-GGA.

## Properties
M_tot: 0.00 μB/cell
DOS at the Fermi energy: 14.11 states/eV per cell
space-group type: No. 64
formation energy: -565 meV per atom

POSCAR file:
```
Zr2Al3Ni4
1.0
2.618 -7.294 0.000
2.618 7.294 0.000
0.000 0.000 6.924
Zr Al Ni
4 6 8
Cartesian
2.618 5.804 6.285
2.618 1.490 2.823
2.618 -1.490 4.100
2.618 -5.804 0.638
0.000 0.000 3.462
1.309 3.421 5.193
1.309 -3.421 1.731
2.618 0.000 0.000
3.927 3.421 5.193
3.927 -3.421 1.731
2.618 4.799 3.583
1.309 0.985 5.193
1.309 -0.985 1.731
2.618 2.496 0.121
2.618 -2.496 6.802
3.927 0.985 5.193
3.927 -0.985 1.731
2.618 -4.799 3.341
```